SrNiSe2 PBE relaxed; density of states at the Fermi level = 3.77 states/eV/cell; magnetization = 0.0 Bohr magnetons per cell; polymorph energy (0 for the lowest one) = 336.9 meV per atom
1.0
3.9299 0.0000 0.0000
0.0000 3.9299 0.0000
0.0000 0.0000 6.3974
Ni Se Sr
1 2 1
direct
0.5000 0.5000 0.9116
0.0000 0.0000 0.8935
0.5000 0.5000 0.2756
0.0000 0.0000 0.4193